# PBE Ba2Hg4Pb5, relaxed
data_Ba2Hg4Pb5
_chemical_formula_sum 'Ba4 Hg8 Pb10'
_cell_length_a 14.847
_cell_length_b 6.551
_cell_length_c 9.685
_cell_angle_alpha 90.00
_cell_angle_beta 130.58
_cell_angle_gamma 90.00
_space_group_name_H-M_alt 'C 1 2/m 1'
_space_group_IT_number 12
loop_
_space_group_symop_operation_xyz
'x,y,z'
'-x,-y,-z'
'-x,y,-z'
'x,-y,z'
'x+1/2,y+1/2,z'
'-x+1/2,-y+1/2,-z'
'-x+1/2,y+1/2,-z'
'x+1/2,-y+1/2,z'
loop_
_atom_site_label
_atom_site_fract_x
_atom_site_fract_y
_atom_site_fract_z
Ba1 0.195 0.000 0.195
Hg1 0.247 0.000 0.591
Hg2 0.247 0.000 0.904
Pb1 0.000 0.255 0.325
Pb2 0.000 0.500 0.000
# E	-53.1	eV per cell
# M_tot	0.000	μB/atom